ZrHO: relaxed, PBE.

Geometry as POSCAR:
```
ZrHO
1.0
3.8357 -1.5444 0.0000
3.8357 1.5444 0.0000
-2.4660 0.0000 5.3731
Zr H O
2 2 2
Direct
0.1676 0.1676 0.2127
0.8324 0.8324 0.7873
0.1775 0.1775 0.5653
0.8225 0.8225 0.4347
0.4143 0.4143 0.1258
0.5857 0.5857 0.8742
```

## Properties
- SG: No. 12
- Total DFT energy (no corrections): -43.75 eV per cell
- Spin magnetization: 0.00 μB per formula unit
- Energy relative to the lowest polymorph listed for this composition: 117 meV/atom

***

PaZn2SiPt2: relaxed, PBE.

Geometry as POSCAR:
```
PaZn2SiPt2
1.0
-2.4545 2.4545 5.1545
2.4545 -2.4545 5.1545
2.4545 2.4545 -5.1545
Pa Zn Si Pt
1 2 1 2
Direct
0.0000 0.0000 0.0000
0.2500 0.7500 0.5000
0.7500 0.2500 0.5000
0.5000 0.5000 0.0000
0.2752 0.2752 0.0000
0.7248 0.7248 0.0000
```

## Properties
- SG: No. 139
- Total DFT energy (no corrections): -30.51 eV per cell
- Spin magnetization: 0.93 μB per formula unit

***

What is the total DFT energy (no corrections) in the first record?
-43.75 eV per cell